Material: CaIn2Hg
Method: DFT, PBE-GGA
State: optimized geometry

Results
DFT formation energy ... -0.26 eV/atom
V ... 108.6 Å³ per cell

a = 5.0260 Å, b = 3.6114 Å, c = 6.0455 Å
α = 81.66°, β = 90.00°, γ = 90.00°
Fractional coordinates of all 4 atoms:
Ca 0.5000 0.2500 0.2500
Hg 0.5000 0.7500 0.7500
In 0.0000 0.8837 0.9922
In 0.0000 0.6163 0.5078



Material: CaIn12Hg4
Method: DFT, PBE-GGA
State: optimized geometry

Results
DFT formation energy ... 0.05 eV/atom
V ... 503.9 Å³ per cell

a = 8.6718 Å, b = 8.6878 Å, c = 8.6812 Å
α = 109.49°, β = 109.40°, γ = 109.45°
Fractional coordinates of all 17 atoms:
Ca 0.0000 0.0000 0.0000
In 0.7983 0.1508 0.6481
In 0.8489 0.3522 0.2013
In 0.3521 0.5020 0.1501
In 0.1502 0.3519 0.5025
In 0.6479 0.4980 0.8499
In 0.1511 0.6478 0.7987
In 0.6477 0.7990 0.1514
In 0.3523 0.2010 0.8486
In 0.8498 0.6481 0.4975
In 0.5030 0.1510 0.3523
In 0.4970 0.8490 0.6477
In 0.2017 0.8492 0.3519
Hg 0.0000 0.5000 0.0000
Hg 0.0000 0.0000 0.5000
Hg 0.5000 0.0000 0.0000
Hg 0.5000 0.5000 0.5000



Material: CaIn2Hg
Method: DFT, PBE-GGA
State: optimized geometry

Results
DFT formation energy ... -0.31 eV/atom
V ... 104.0 Å³ per cell

a = 4.6205 Å, b = 4.6164 Å, c = 4.8762 Å
α = 90.00°, β = 90.00°, γ = 90.00°
Fractional coordinates of all 4 atoms:
Ca 0.5000 0.0000 0.5000
Hg 0.0000 0.5000 0.5000
In 0.0000 0.0000 0.0000
In 0.5000 0.5000 0.0000